No. 1
The following is a PBE-GGA calculation of crystalline Si2TcIr at its relaxed geometry, from the Alexandria database.

The structure in extended XYZ format:
```
4
Lattice="-2.439 1.109 -2.727 0.148 -1.606 -3.466 -3.833 -3.472 -0.663" Properties=species:S:1:pos:R:3 pbc="T T T"
Si -3.086 -2.668 -1.004
Si -1.479 -0.936 -1.738
Tc -3.171 -2.103 -3.378
Ir -5.283 -3.721 -4.827
```

Summary:
Total magnetic moment   0.0 μB/f.u.
E_form (uncorrected)   -358 meV/atom
Polymorph energy (0 for the lowest one)   0.196 eV/atom

No. 2
The following is a PBE-GGA calculation of crystalline SiTcIr2 at its relaxed geometry, from the Alexandria database.

The structure in extended XYZ format:
```
4
Lattice="-0.033 0.845 -2.674 -2.745 0.540 0.204 1.449 6.585 2.063" Properties=species:S:1:pos:R:3 pbc="T T T"
Ir 0.042 0.191 0.060
Ir 0.682 3.102 0.972
Si -1.026 2.339 -0.719
Tc -0.302 5.631 0.312
```

Summary:
Total magnetic moment   0.0 μB/f.u.
E_form (uncorrected)   -288 meV/atom

No. 3
The following is a PBE-GGA calculation of crystalline SiTcIr2 at its relaxed geometry, from the Alexandria database.

The structure in extended XYZ format:
```
4
Lattice="4.658 0.000 0.000 1.472 4.419 0.000 -3.065 -2.210 2.724" Properties=species:S:1:pos:R:3 pbc="T T T"
Ir 0.000 0.000 0.000
Ir 0.736 2.210 1.362
Si 3.065 2.210 0.000
Tc 2.329 0.000 1.362
```

Summary:
Total magnetic moment   0.0 μB/f.u.
E_form (uncorrected)   -182 meV/atom

No. 4
The following is a PBE-GGA calculation of crystalline SiTcIr2 at its relaxed geometry, from the Alexandria database.

The structure in extended XYZ format:
```
4
Lattice="4.032 0.000 0.000 0.000 2.787 -0.002 0.000 1.497 5.023" Properties=species:S:1:pos:R:3 pbc="T T T"
Ir 0.000 0.350 0.044
Ir 0.000 1.792 2.467
Si 2.016 1.071 1.255
Tc 2.016 3.213 3.766
```

Summary:
Total magnetic moment   0.0 μB/f.u.
E_form (uncorrected)   -272 meV/atom

No. 5
The following is a PBE-GGA calculation of crystalline ThSi2Tc2Ir at its relaxed geometry, from the Alexandria database.

The structure in extended XYZ format:
```
6
Lattice="4.620 0.000 0.000 0.000 4.620 0.000 0.000 0.000 5.348" Properties=species:S:1:pos:R:3 pbc="T T T"
Th 0.000 0.000 2.674
Si 2.310 0.000 0.000
Si 0.000 2.310 0.000
Tc 2.310 2.310 3.946
Tc 2.310 2.310 1.402
Ir 0.000 0.000 0.000
```

Summary:
Total magnetic moment   0.0 μB/f.u.
E_form (uncorrected)   21 meV/atom

No. 6
The following is a PBE-GGA calculation of crystalline ThSi3TcIr at its relaxed geometry, from the Alexandria database.

The structure in extended XYZ format:
```
12
Lattice="-3.482 4.262 -2.261 0.007 -2.948 -5.569 -5.065 -1.758 4.489" Properties=species:S:1:pos:R:3 pbc="T T T"
Th -4.788 1.807 -0.963
Th -3.753 -2.251 -2.378
Si -2.986 -0.285 0.147
Si 0.002 -0.878 -1.658
Si -1.736 0.060 -5.042
Si -1.739 1.253 -2.788
Si 0.005 -2.071 -3.912
Si -5.555 -0.159 -3.488
Tc -1.148 0.888 -0.472
Tc -7.393 -1.333 -2.869
Ir -4.812 -1.451 0.762
Ir -3.729 1.007 -4.103
```

Summary:
Total magnetic moment   0.0 μB/f.u.
E_form (uncorrected)   -444 meV/atom

No. 7
The following is a PBE-GGA calculation of crystalline USi2Tc2Ir at its relaxed geometry, from the Alexandria database.

The structure in extended XYZ format:
```
6
Lattice="-4.449 0.866 0.807 -1.096 -4.199 -1.539 0.504 -1.895 4.813" Properties=species:S:1:pos:R:3 pbc="T T T"
U 0.252 -0.948 2.407
Si -2.225 0.433 0.403
Si -0.548 -2.099 -0.769
Tc -2.402 -3.059 3.170
Tc -2.639 -2.169 0.911
Ir 0.000 0.000 0.000
```

Summary:
Total magnetic moment   1.5 μB/f.u.
E_form (uncorrected)   258 meV/atom

No. 8
The following is a PBE-GGA calculation of crystalline Y2SiTcIr at its relaxed geometry, from the Alexandria database.

The structure in extended XYZ format:
```
5
Lattice="-0.407 0.398 -5.200 -3.719 -2.151 0.126 -2.590 4.511 0.548" Properties=species:S:1:pos:R:3 pbc="T T T"
Y -1.295 2.256 0.274
Y -0.203 0.199 -2.600
Si 0.000 0.000 0.000
Ir -3.358 1.380 -2.263
Tc -1.860 -1.075 0.063
```

Summary:
Total magnetic moment   0.0 μB/f.u.
E_form (uncorrected)   385 meV/atom

No. 9
The following is a PBE-GGA calculation of crystalline Y2Si4TcIr3 at its relaxed geometry, from the Alexandria database.

The structure in extended XYZ format:
```
10
Lattice="4.209 0.000 0.000 0.000 4.209 0.000 0.000 0.000 9.620" Properties=species:S:1:pos:R:3 pbc="T T T"
Y 2.105 0.000 2.420
Y 0.000 2.105 7.199
Si 2.105 2.105 0.000
Si 0.000 0.000 0.000
Si 2.105 0.000 6.007
Si 0.000 2.105 3.612
Tc 2.105 2.105 4.810
Ir 0.000 0.000 4.810
Ir 2.105 0.000 8.418
Ir 0.000 2.105 1.202
```

Summary:
Total magnetic moment   0.0 μB/f.u.
E_form (uncorrected)   -950 meV/atom

No. 10
The following is a PBE-GGA calculation of crystalline YSi2TcIr at its relaxed geometry, from the Alexandria database.

The structure in extended XYZ format:
```
5
Lattice="-3.052 0.252 -2.876 1.656 -3.276 -2.044 -2.016 -1.493 5.078" Properties=species:S:1:pos:R:3 pbc="T T T"
Y 0.000 0.000 0.000
Si -1.397 -2.285 -1.787
Si -2.016 -2.232 1.944
Tc -2.884 -1.376 -0.130
Ir -0.530 -3.141 0.287
```

Summary:
Total magnetic moment   0.0 μB/f.u.
E_form (uncorrected)   -898 meV/atom

No. 11
The following is a PBE-GGA calculation of crystalline ZnSiTcIr at its relaxed geometry, from the Alexandria database.

The structure in extended XYZ format:
```
4
Lattice="4.238 0.000 0.000 2.119 3.670 0.000 2.119 1.223 3.460" Properties=species:S:1:pos:R:3 pbc="T T T"
Zn 2.119 1.223 0.865
Ir 4.238 2.447 1.730
Si 6.357 3.670 2.595
Tc 0.000 0.000 0.000
```

Summary:
Total magnetic moment   0.0 μB/f.u.
E_form (uncorrected)   -273 meV/atom

No. 12
The following is a PBE-GGA calculation of crystalline ZrSiTcIr at its relaxed geometry, from the Alexandria database.

The structure in extended XYZ format:
```
4
Lattice="-3.756 -0.237 -2.349 -2.226 -3.830 -0.245 -3.894 -0.440 2.081" Properties=species:S:1:pos:R:3 pbc="T T T"
Si -7.407 -3.380 -0.385
Ir -4.938 -2.254 -0.257
Tc 0.000 0.000 0.000
Zr -2.469 -1.127 -0.128
```

Summary:
Total magnetic moment   0.0 μB/f.u.
E_form (uncorrected)   -612 meV/atom

No. 13
The following is a PBE-GGA calculation of crystalline SiTe4Ir2 at its relaxed geometry, from the Alexandria database.

The structure in extended XYZ format:
```
7
Lattice="5.077 0.000 0.000 0.000 5.077 0.000 2.538 2.538 7.902" Properties=species:S:1:pos:R:3 pbc="T T T"
Si 0.000 0.000 0.000
Ir 5.077 5.077 6.591
Ir 2.538 2.538 1.311
Te 5.077 5.077 4.098
Te 2.538 2.538 3.804
Te 0.000 2.538 0.000
Te 2.538 0.000 0.000
```

Summary:
Total magnetic moment   0.0 μB/f.u.
E_form (uncorrected)   548 meV/atom

No. 14
The following is a PBE-GGA calculation of crystalline SiTe3Ir at its relaxed geometry, from the Alexandria database.

The structure in extended XYZ format:
```
5
Lattice="5.241 0.000 0.000 0.000 5.241 0.000 0.000 0.000 5.241" Properties=species:S:1:pos:R:3 pbc="T T T"
Si 2.621 2.621 2.621
Ir 0.000 0.000 0.000
Te 0.000 2.621 0.000
Te 0.000 0.000 2.621
Te 2.621 0.000 0.000
```

Summary:
Total magnetic moment   0.0 μB/f.u.
E_form (uncorrected)   787 meV/atom
Polymorph energy (0 for the lowest one)   0.000 eV/atom

No. 15
The following is a PBE-GGA calculation of crystalline SiTeIr4 at its relaxed geometry, from the Alexandria database.

The structure in extended XYZ format:
```
6
Lattice="1.333 -2.522 4.446 1.615 2.747 4.213 -3.094 0.355 4.267" Properties=species:S:1:pos:R:3 pbc="T T T"
Si -0.110 0.435 9.694
Te 0.000 0.000 0.000
Ir 0.610 -1.041 7.069
Ir -1.599 0.395 6.979
Ir 0.751 1.588 6.952
Ir -0.055 0.218 4.851
```

Summary:
Total magnetic moment   0.0 μB/f.u.
E_form (uncorrected)   681 meV/atom